No. 1
Density functional theory data (PBE) for a geometry-optimized PrPaHg structure.

Lattice parameters (Å, degrees): 3.3792 8.3913 6.0444 90.00 90.00 90.00
Last column: magnetic moment on the atom in μB.
Atoms (fractional coordinates):
Pr 0.5000 0.2071 0.2500  0.07
Pr 0.5000 0.7929 0.7500  0.07
Pa 0.0000 0.1439 0.7500  0.97
Pa 0.0000 0.8561 0.2500  0.97
Hg 0.0000 0.5000 0.5000  0.01
Hg 0.0000 0.5000 0.0000  0.01

Results
* ρ: 11.09 g cm⁻³
* space-group type: Pmma
* magnetization: 1.37 μB per formula unit
* DFT total energy: -27.74 eV for the cell shown

---

No. 2
Density functional theory data (PBE) for a geometry-optimized Pr2PaHg structure.

Lattice parameters (Å, degrees): 3.5580 3.5580 9.2389 90.00 90.00 90.00
Last column: magnetic moment on the atom in μB.
Atoms (fractional coordinates):
Pr 0.0000 0.0000 0.7612  0.00
Pr 0.0000 0.0000 0.2388  0.00
Pa 0.5000 0.5000 0.5000  0.14
Hg 0.5000 0.5000 0.0000  0.00

Results
* ρ: 10.13 g cm⁻³
* space-group type: P4/mmm
* magnetization: 0.15 μB per formula unit
* DFT total energy: -19.63 eV for the cell shown

---

No. 3
Density functional theory data (PBE) for a geometry-optimized Pr2PaHg structure.

Lattice parameters (Å, degrees): 3.4817 5.7265 5.7265 90.00 90.00 90.00
Atoms (fractional coordinates):
Pr 0.0000 0.0000 0.5000
Pr 0.0000 0.5000 0.0000
Pa 0.5000 0.5000 0.5000
Hg 0.5000 0.0000 0.0000

Results
* ρ: 10.38 g cm⁻³
* space-group type: P4/mmm
* magnetization: 0.00 μB per formula unit
* DFT total energy: -19.30 eV for the cell shown

---

No. 4
Density functional theory data (PBE) for a geometry-optimized PrPaHgSb structure.

Lattice parameters (Å, degrees): 5.3890 5.3890 5.3890 60.00 60.00 60.00
Last column: magnetic moment on the atom in μB.
Atoms (fractional coordinates):
Pr 0.7500 0.7500 0.7500  0.29
Sb 0.0000 0.0000 0.0000  0.01
Pa 0.2500 0.2500 0.2500  1.44
Hg 0.5000 0.5000 0.5000  0.05

Results
* uncorrected formation energy: -28 kJ per mole of atoms
* ρ: 10.42 g cm⁻³
* space-group type: F-43m
* magnetization: 2.57 μB per formula unit

---

No. 5
Density functional theory data (PBE) for a geometry-optimized Pr2PaHg3Te6 structure.

Lattice parameters (Å, degrees): 7.7239 7.7239 8.9789 98.23 98.23 119.98
Atoms (fractional coordinates):
Pr 0.3336 0.6664 0.0000
Pr 0.6664 0.3336 0.0000
Pa 0.0000 0.0000 0.0000
Hg 0.1686 0.8314 0.5000
Hg 0.8314 0.1686 0.5000
Hg 0.5000 0.5000 0.5000
Te 0.9306 0.6160 0.7908
Te 0.7552 0.7552 0.2090
Te 0.0694 0.3840 0.2092
Te 0.6160 0.9306 0.7908
Te 0.2448 0.2448 0.7910
Te 0.3840 0.0694 0.2092

Results
* uncorrected formation energy: -74 kJ per mole of atoms
* ρ: 7.02 g cm⁻³
* space-group type: C2/m
* magnetization: 0.00 μB per formula unit

---

No. 6
Density functional theory data (PBE) for a geometry-optimized PaHgPt structure.

Lattice parameters (Å, degrees): 5.1174 5.1174 5.8488 90.00 90.00 119.98
Atoms (fractional coordinates):
Pa 0.6666 0.8334 0.7500
Pa 0.3334 0.1666 0.2500
Hg 0.0000 0.5000 0.0000
Hg 0.0000 0.5000 0.5000
Pt 0.3332 0.1668 0.7500
Pt 0.6668 0.8332 0.2500

Results
* ρ: 15.69 g cm⁻³
* space-group type: P6_3/mmc
* magnetization: 0.00 μB per formula unit
* DFT total energy: -35.06 eV for the cell shown